(1)
The following is a PBE calculation of a relaxed CsAuCl2 crystal, from Alexandria via LeMat-Bulk.

The structure belongs to space group I-42d (No. 122); the cell edges are 6.542, 6.542 and 14.479 Å and the angles 90.00°, 90.00° and 90.00°. The asymmetric unit holds Cs at (0.000, 0.000, 0.000), Au at (0.000, 0.000, 0.500) and Cl at (0.140, 0.250, 0.625).

The calculation puts the formation energy from raw total energies at -0.908 eV per atom.

(2)
The following is a PBE calculation of a relaxed Cs7Au4Cl crystal, from Alexandria via LeMat-Bulk.

The structure belongs to space group Cm (No. 8); the cell edges are 17.277, 5.017 and 15.122 Å and the angles 90.00°, 105.54° and 90.00°. The asymmetric unit holds Cs at (0.000, 0.000, 0.000), Cs at (0.000, 0.500, 0.262), Cs at (0.074, 0.000, 0.558), Cs at (0.194, 0.500, 0.842), Cs at (0.263, 0.500, 0.149), Cs at (0.293, 0.000, 0.439), Cs at (0.382, 0.000, 0.745), Au at (0.038, 0.000, 0.777), Au at (0.140, 0.000, 0.226), Au at (0.236, 0.500, 0.606), Au at (0.347, 0.000, 0.007) and Cl at (0.407, 0.500, 0.364).

The calculation puts the formation energy from raw total energies at -0.531 eV per atom.

(3)
The following is a PBE calculation of a relaxed Cs2AuCl5 crystal, from Alexandria via LeMat-Bulk.

The structure belongs to space group I4mm (No. 107); the cell edges are 7.410, 7.410 and 10.486 Å and the angles 90.00°, 90.00° and 90.00°. The asymmetric unit holds Cs at (0.000, 0.500, 0.000), Au at (0.000, 0.000, 0.257), Cl at (0.000, 0.000, 0.545) and Cl at (0.224, 0.224, 0.243).

The calculation puts the formation energy from raw total energies at -1.174 eV per atom.

(4)
The following is a PBE calculation of a relaxed Cs12Au6Cl crystal, from Alexandria via LeMat-Bulk.

The structure belongs to space group R-3 (No. 148, hexagonal axes); the cell edges are 16.1562, 16.1562 and 14.7675 Å and the angles 90.00°, 90.00° and 120.00°. The asymmetric unit holds Cs at (0.0319, 0.2164, 0.3961), Cs at (0.0454, 0.2056, 0.8856), Au at (0.0532, 0.2742, 0.6499) and Cl at (0.0000, 0.0000, 0.0000).

The calculation puts the formation energy from raw total energies at -0.392 eV per atom.